# CoW3 (PBE-GGA, optimized geometry)
data_CoW3
_chemical_formula_sum 'Co2 W6'
_space_group_name_H-M_alt 'I 4/m m m'
_space_group_IT_number 139
_space_group_name_Hall '-I 4 2'
_cell_length_a 3.849
_cell_length_b 3.849
_cell_length_c 8.046
_cell_angle_alpha 90.00
_cell_angle_beta 90.00
_cell_angle_gamma 90.00
loop_
_atom_site_label
_atom_site_type_symbol
_atom_site_fract_x
_atom_site_fract_y
_atom_site_fract_z
Co1 Co 0.000 0.000 0.000
W1 W 0.000 0.000 0.500
W2 W 0.000 0.500 0.250
# energy relative to the lowest polymorph listed for this composition = 0.16 eV/f.u.
# ΔH_f (0 K) = 28 kJ/mol of atoms
# crystal system = tetragonal
# calculated total energy = -89.67 eV/cell